No. 1
DFT (GGA-PBE) results for crystalline Ba6Ge2AsBr3 at its relaxed geometry.

Properties
Total magnetization   2.0 μB/f.u.
N(E_F)   4.91 states/eV/cell
ΔE_f (raw)   -14.93 eV/f.u.

a b c (Å): 4.786 9.871 10.987
angles (deg): 106.03 102.58 90.00
Last column: magnetic moment on the atom in μB.
Positions (direct):
As 0.500 0.000 0.000  0.02
Br 0.165 0.840 0.329  0.00
Ba 0.340 0.899 0.679  0.05
Br 0.500 0.500 0.000  0.00
Ba 0.670 0.578 0.339  0.05
Ba 0.993 0.769 0.986  0.03
Ge 0.830 0.657 0.660  0.30
Br 0.835 0.160 0.671  0.00
Ba 0.660 0.101 0.321  0.05
Ge 0.170 0.343 0.340  0.30
Ba 0.007 0.231 0.014  0.03
Ba 0.330 0.422 0.661  0.05


No. 2
DFT (GGA-PBE) results for crystalline LaZnW2 at its relaxed geometry.

Properties
Total magnetization   0.0 μB/f.u.
DFT formation energy   0.7429 eV/atom
N(E_F)   4.01 states/eV/cell

a b c (Å): 3.260 4.836 4.884
angles (deg): 90.00 90.00 90.00
Positions (direct):
Zn 0.500 0.000 0.500
W 0.000 0.000 0.000
W 0.500 0.500 0.000
La 0.000 0.500 0.500


No. 3
DFT (GGA-PBE) results for crystalline Tb2Nd3Te3 at its relaxed geometry.

Properties
Total magnetization   0.0 μB/f.u.
N(E_F)   16.78 states/eV/cell
ΔE_f (raw)   -7.66 eV/f.u.

a b c (Å): 4.091 8.136 15.277
angles (deg): 90.00 90.00 104.56
Positions (direct):
Nd 0.961 0.923 0.387
Tb 0.241 0.483 0.108
Tb 0.241 0.483 0.392
Nd 0.039 0.077 0.887
Nd 0.961 0.923 0.113
Te 0.610 0.220 0.463
Nd 0.400 0.799 0.750
Te 0.384 0.768 0.250
Te 0.616 0.232 0.750
Te 0.390 0.780 0.537
Te 0.390 0.780 0.963
Tb 0.759 0.517 0.892
Tb 0.759 0.517 0.608
Nd 0.600 0.201 0.250
Te 0.610 0.220 0.037
Nd 0.039 0.077 0.613


No. 4
DFT (GGA-PBE) results for crystalline Ac4PdPtS2 at its relaxed geometry.

Properties
Total magnetization   0.0 μB/f.u.
N(E_F)   2.40 states/eV/cell
ΔE_f (raw)   -11.51 eV/f.u.

a b c (Å): 4.293 8.024 7.455
angles (deg): 72.05 90.00 90.00
Positions (direct):
Ac 0.000 0.737 0.757
Pd 0.000 0.500 0.500
Ac 0.500 0.261 0.748
Ac 0.000 0.263 0.243
S 0.000 0.000 0.000
Ac 0.500 0.739 0.252
Pt 0.500 0.500 0.000
S 0.500 0.000 0.500


Raw total energy per entry: -3.781, -7.284, -5.082, -5.930 eV per atom
Volume per entry: 485.9, 77.0, 492.2, 244.3 Å³ per cell